CdMo2PtBr | PBE-GGA | optimized geometry

Cell: 4.9608 5.2605 4.9608 Å, 90.00 90.00 90.00°
Last column: magnetic moment on the atom in μB.
Atoms (fractional coordinates):
Mo1 0.0000 0.0000 0.5000  1.84
Mo2 0.5000 0.0000 0.0000  2.18
Pt1 0.0000 0.0000 0.0000  -0.06
Cd1 0.5000 0.5000 0.5000  -0.04
Br1 0.0000 0.5000 0.0000  0.07

Properties
- Formation energy without anion corrections: 1457.5 meV/atom
- Total magnetization: 4.75 μB/cell
- Mass density: 7.4 g cm⁻³